(1)
NaGaTc3: relaxed, PBE.

Computed properties:
Uncorrected energy ... -27.5 eV for the cell shown
Formation enthalpy at 0 K ... 1.586 eV per atom
Excess energy over the best structure of this formula in the dataset ... 0 meV per atom

Cell lengths 4.685, 4.685, 4.685 Å; angles 90.00, 90.00, 90.00 degrees
Space group Pm-3m (No. 221)
Unique sites:
Na (0.000, 0.000, 0.000) [1 per cell]
Ga (0.500, 0.500, 0.500) [1 per cell]
Tc (0.000, 0.500, 0.500) [3 per cell]

***

(2)
NaGaTc: relaxed, PBE.

Computed properties:
Uncorrected energy ... -57.6 eV for the cell shown
Formation enthalpy at 0 K ... 0.103 eV per atom
Excess energy over the best structure of this formula in the dataset ... 145 meV per atom

Cell lengths 7.358, 4.251, 8.618 Å; angles 90.00, 106.51, 90.00 degrees
Space group C2/m (No. 12)
Unique sites:
Na (0.214, 0.000, 0.142) [4 per cell]
Ga (0.054, 0.000, 0.664) [4 per cell]
Tc (0.156, 0.500, 0.468) [4 per cell]

***

> The lowest formation enthalpy at 0 K belongs to which entry?

NaGaTc

***

Repeat the first record exactly.
NaGaTc3: relaxed, PBE.

Computed properties:
Uncorrected energy ... -27.5 eV for the cell shown
Formation enthalpy at 0 K ... 1.586 eV per atom
Excess energy over the best structure of this formula in the dataset ... 0 meV per atom

Cell lengths 4.685, 4.685, 4.685 Å; angles 90.00, 90.00, 90.00 degrees
Space group Pm-3m (No. 221)
Unique sites:
Na (0.000, 0.000, 0.000) [1 per cell]
Ga (0.500, 0.500, 0.500) [1 per cell]
Tc (0.000, 0.500, 0.500) [3 per cell]

***

> Look up the uncorrected energy of the second one.

-57.6 eV for the cell shown